Material: Rb2LaIO6
Method: DFT, PBE
State: optimized geometry

Calculated values
Total magnetic moment = 0.0 μB per formula unit
ΔE_f (raw) = -1.621 eV/atom
Energy = -326.231 eV for the cell shown
Volume = 1099 Å³/cell

The structure in CIF format:
```
data_Rb2LaIO6
_chemical_formula_sum 'Rb12 La6 I6 O36'
_cell_length_a 6.4099
_cell_length_b 6.4099
_cell_length_c 30.8954
_cell_angle_alpha 90.00
_cell_angle_beta 90.00
_cell_angle_gamma 120.00
_space_group_name_H-M_alt 'R -3 m'
_space_group_IT_number 166
_space_group_name_Hall '-R 3 2"'
loop_
_atom_site_label
_atom_site_fract_x
_atom_site_fract_y
_atom_site_fract_z
Rb1 0.0000 0.0000 0.1336
Rb2 0.0000 0.0000 0.2633
La1 0.0000 0.0000 0.3980
I1 0.0000 0.0000 0.0000
I2 0.0000 0.0000 0.5000
O1 0.0513 0.5257 0.7022
O2 0.0581 0.5290 0.1292
```